First-principles (PBE) data for a relaxed NaTl3Cd3 crystal, as listed in Alexandria via LeMat-Bulk.

Unit cell a=7.789 b=7.789 c=6.474 alpha=90.00 beta=90.00 gamma=88.16
Atoms (fractional coordinates):
Cd  0.000  0.000  0.244
Cd  0.000  0.500  0.248
Cd  0.500  0.000  0.248
Cd  0.000  0.000  0.756
Cd  0.500  0.000  0.752
Cd  0.000  0.500  0.752
Na  0.682  0.682  0.000
Na  0.318  0.318  0.000
Tl  0.249  0.751  0.000
Tl  0.770  0.770  0.500
Tl  0.665  0.335  0.500
Tl  0.230  0.230  0.500
Tl  0.751  0.249  0.000
Tl  0.335  0.665  0.500

Summary:
**Magnetic moment**: 0.00 μB/atom
**Total energy**: -1.59 eV per atom
**E_form**: 4 meV/atom